Entry from Alexandria: KMgSnSe3 after structural relaxation (PBE).

extended XYZ file:
```
12
Lattice="4.6033 0.0000 0.0000 0.0000 8.3060 -0.6254 0.0000 -2.9477 9.9759" Properties=species:S:1:pos:R:3 pbc="T T T"
Se 1.1508 1.8388 7.9927
Se 3.4524 3.5195 1.3578
Se 1.1508 -1.7080 8.5763
Se 3.4524 7.0664 0.7742
Se 3.4524 0.2196 5.1720
Se 1.1508 5.1388 4.1786
Mg 1.1508 5.0881 0.5893
Mg 3.4524 0.2702 8.7612
Sn 1.1508 -0.5309 6.2561
Sn 3.4524 5.8893 3.0944
K 3.4524 4.1445 7.1499
K 1.1508 1.2138 2.2006
```

## Properties
Spin magnetization   0.000 μB/f.u.
Space group   P2_1/m
Final energy   -43.8 eV for the cell shown


Entry from Alexandria: KMgSn2Se after structural relaxation (PBE).

extended XYZ file:
```
5
Lattice="-5.8214 0.0894 -1.4697 0.8998 -4.1727 -3.8180 -1.1304 -4.1119 4.2275" Properties=species:S:1:pos:R:3 pbc="T T T"
Mg 0.4499 -2.0864 -1.9090
Sn -0.5652 -2.0559 2.1138
Sn -2.9107 0.0447 -0.7348
K 0.0000 0.0000 0.0000
Se -3.0260 -4.0976 -0.5301
```

## Properties
Spin magnetization   0.000 μB/f.u.
Space group   P4/mmm
Final energy   -8.4 eV for the cell shown


Entry from Alexandria: K2MgTaSe4 after structural relaxation (PBE).

extended XYZ file:
```
8
Lattice="-3.5365 -5.4123 -2.8364 5.3613 -1.7500 4.2473 -3.6267 3.9357 4.6047" Properties=species:S:1:pos:R:3 pbc="T T T"
Se -1.6841 -2.1357 2.1768
Se 0.3525 -0.4983 6.2393
Se -1.3124 1.6263 3.4019
Se -0.9599 -5.4457 0.2132
K 1.3460 -3.0348 2.9184
K 0.0000 0.0000 0.0000
Ta 0.8673 1.0928 4.4260
Mg -3.1480 -0.1919 3.0971
```

## Properties
Spin magnetization   1.019 μB/f.u.
Space group   I-4
Final energy   -37.2 eV for the cell shown